No. 1
This record from OQMD describes a geometry-optimized BeNbHg2 structure. The functional is PBE.

It has space group F-43m (No. 216), with a = 6.608 Å, b = 6.608 Å, c = 6.608 Å, α = 90.00°, β = 90.00° and γ = 90.00°. Symmetry generates all atoms from Be at (0.000, 0.000, 0.000), Nb at (0.250, 0.250, 0.250), Hg at (0.000, 0.000, 0.500) and Hg at (0.250, 0.250, 0.750).

No. 2
This record from OQMD describes a geometry-optimized NdBeHg structure. The functional is PBE.

It has space group F-43m (No. 216), with a = 6.756 Å, b = 6.756 Å, c = 6.756 Å, α = 90.00°, β = 90.00° and γ = 90.00°. Symmetry generates all atoms from Nd at (0.000, 0.000, 0.000), Be at (0.000, 0.000, 0.500) and Hg at (0.250, 0.250, 0.750).

No. 3
This record from OQMD describes a geometry-optimized BeNiHg2 structure. The functional is PBE.

It has space group F-43m (No. 216), with a = 6.355 Å, b = 6.355 Å, c = 6.355 Å, α = 90.00°, β = 90.00° and γ = 90.00°. Symmetry generates all atoms from Be at (0.000, 0.000, 0.000), Ni at (0.250, 0.250, 0.250), Hg at (0.000, 0.000, 0.500) and Hg at (0.250, 0.250, 0.750).

No. 4
This record from OQMD describes a geometry-optimized Be6NiHg structure. The functional is PBE.

It has space group R-3 (No. 148, hexagonal axes), with a = 6.5104 Å, b = 6.5104 Å, c = 6.6066 Å, α = 90.00°, β = 90.00° and γ = 120.00°. Symmetry generates all atoms from Be at (0.0169, 0.3058, 0.2489), Ni at (0.0000, 0.0000, 0.5000) and Hg at (0.0000, 0.0000, 0.0000).

No. 5
This record from OQMD describes a geometry-optimized BeNi2Hg structure. The functional is PBE.

It has space group F-43m (No. 216), with a = 5.854 Å, b = 5.854 Å, c = 5.854 Å, α = 90.00°, β = 90.00° and γ = 90.00°. Symmetry generates all atoms from Be at (0.000, 0.000, 0.000), Ni at (0.000, 0.000, 0.500), Ni at (0.250, 0.250, 0.750) and Hg at (0.250, 0.250, 0.250).

No. 6
This record from OQMD describes a geometry-optimized BeNiHgPb structure. The functional is PBE.

The value obtained for the excess energy over the best structure of this formula in the dataset is 139 meV per atom.

It has space group F-43m (No. 216), with a = 6.669 Å, b = 6.669 Å, c = 6.669 Å, α = 90.00°, β = 90.00° and γ = 90.00°. Symmetry generates all atoms from Be at (0.000, 0.000, 0.000), Ni at (0.250, 0.250, 0.250), Hg at (0.250, 0.250, 0.750) and Pb at (0.000, 0.000, 0.500).

No. 7
This record from OQMD describes a geometry-optimized BeNiHgPb structure. The functional is PBE.

The value obtained for the excess energy over the best structure of this formula in the dataset is 0 meV per atom.

It has space group F-43m (No. 216), with a = 6.553 Å, b = 6.553 Å, c = 6.553 Å, α = 90.00°, β = 90.00° and γ = 90.00°. Symmetry generates all atoms from Be at (0.000, 0.000, 0.000), Ni at (0.000, 0.000, 0.500), Hg at (0.250, 0.250, 0.250) and Pb at (0.250, 0.250, 0.750).

No. 8
This record from OQMD describes a geometry-optimized BeNiHgSb structure. The functional is PBE.

The value obtained for the excess energy over the best structure of this formula in the dataset is 167 meV per atom.

It has space group F-43m (No. 216), with a = 6.560 Å, b = 6.560 Å, c = 6.560 Å, α = 90.00°, β = 90.00° and γ = 90.00°. Symmetry generates all atoms from Be at (0.000, 0.000, 0.000), Ni at (0.250, 0.250, 0.750), Hg at (0.250, 0.250, 0.250) and Sb at (0.000, 0.000, 0.500).

No. 9
This record from OQMD describes a geometry-optimized BeNiHgSb structure. The functional is PBE.

The value obtained for the excess energy over the best structure of this formula in the dataset is 0 meV per atom.

It has space group F-43m (No. 216), with a = 6.469 Å, b = 6.469 Å, c = 6.469 Å, α = 90.00°, β = 90.00° and γ = 90.00°. Symmetry generates all atoms from Be at (0.000, 0.000, 0.000), Ni at (0.000, 0.000, 0.500), Hg at (0.250, 0.250, 0.750) and Sb at (0.250, 0.250, 0.250).

No. 10
This record from OQMD describes a geometry-optimized BeNiSnHg structure. The functional is PBE.

The value obtained for the excess energy over the best structure of this formula in the dataset is 120 meV per atom.

It has space group F-43m (No. 216), with a = 6.481 Å, b = 6.481 Å, c = 6.481 Å, α = 90.00°, β = 90.00° and γ = 90.00°. Symmetry generates all atoms from Be at (0.000, 0.000, 0.000), Ni at (0.250, 0.250, 0.750), Sn at (0.000, 0.000, 0.500) and Hg at (0.250, 0.250, 0.250).

No. 11
This record from OQMD describes a geometry-optimized BeNiSnHg structure. The functional is PBE.

The value obtained for the excess energy over the best structure of this formula in the dataset is 0 meV per atom.

It has space group F-43m (No. 216), with a = 6.403 Å, b = 6.403 Å, c = 6.403 Å, α = 90.00°, β = 90.00° and γ = 90.00°. Symmetry generates all atoms from Be at (0.000, 0.000, 0.000), Ni at (0.000, 0.000, 0.500), Sn at (0.250, 0.250, 0.750) and Hg at (0.250, 0.250, 0.250).

No. 12
This record from OQMD describes a geometry-optimized BeZnNiHg structure. The functional is PBE.

The value obtained for the excess energy over the best structure of this formula in the dataset is 0 meV per atom.

It has space group F-43m (No. 216), with a = 6.010 Å, b = 6.010 Å, c = 6.010 Å, α = 90.00°, β = 90.00° and γ = 90.00°. Symmetry generates all atoms from Be at (0.000, 0.000, 0.000), Zn at (0.000, 0.000, 0.500), Ni at (0.250, 0.250, 0.750) and Hg at (0.250, 0.250, 0.250).

No. 13
This record from OQMD describes a geometry-optimized Be2Hg2O5 structure. The functional is PBE.

The value obtained for the excess energy over the best structure of this formula in the dataset is 748 meV per atom.

It has space group P4/mmm (No. 123), with a = 3.154 Å, b = 3.154 Å, c = 11.945 Å, α = 90.00°, β = 90.00° and γ = 90.00°. Symmetry generates all atoms from Be at (0.000, 0.000, 0.000), Be at (0.000, 0.000, 0.500), Hg at (0.500, 0.500, 0.222), O at (0.000, 0.500, 0.441) and O at (0.500, 0.500, 0.000).

No. 14
This record from OQMD describes a geometry-optimized Be2Hg2O5 structure. The functional is PBE.

The value obtained for the excess energy over the best structure of this formula in the dataset is 0 meV per atom.

It has space group P4/mmm (No. 123), with a = 3.468 Å, b = 3.468 Å, c = 7.504 Å, α = 90.00°, β = 90.00° and γ = 90.00°. Symmetry generates all atoms from Be at (0.000, 0.000, 0.224), Hg at (0.500, 0.500, 0.000), Hg at (0.500, 0.500, 0.500), O at (0.000, 0.000, 0.000) and O at (0.000, 0.500, 0.286).

No. 15
This record from OQMD describes a geometry-optimized BeHg2O4 structure. The functional is PBE.

It has space group I4_1/amd (No. 141, origin choice 2), with a = 6.205 Å, b = 6.205 Å, c = 8.799 Å, α = 90.00°, β = 90.00° and γ = 90.00°. Symmetry generates all atoms from Be at (0.000, 0.250, 0.375), Hg at (0.000, 0.000, 0.000) and O at (0.000, 0.030, 0.265).

No. 16
This record from OQMD describes a geometry-optimized BeHgSO structure. The functional is PBE.

The value obtained for the excess energy over the best structure of this formula in the dataset is 0 meV per atom.

It has space group Pca2_1 (No. 29), with a = 5.335 Å, b = 9.591 Å, c = 4.958 Å, α = 90.00°, β = 90.00° and γ = 90.00°. Symmetry generates all atoms from Be at (0.124, 0.010, 0.000), Hg at (0.001, 0.654, 0.039), S at (0.001, 0.331, 0.038) and O at (0.125, 0.012, 0.671).

No. 17
This record from OQMD describes a geometry-optimized BeHgSO structure. The functional is PBE.

The value obtained for the excess energy over the best structure of this formula in the dataset is 317 meV per atom.

It has space group P4/nmm (No. 129, origin choice 2), with a = 3.582 Å, b = 3.582 Å, c = 8.603 Å, α = 90.00°, β = 90.00° and γ = 90.00°. Symmetry generates all atoms from Be at (0.250, 0.250, 0.024), Hg at (0.250, 0.250, 0.666), S at (0.250, 0.250, 0.314) and O at (0.250, 0.750, 0.000).

No. 18
This record from OQMD describes a geometry-optimized BeHgSO structure. The functional is PBE.

The value obtained for the excess energy over the best structure of this formula in the dataset is 361 meV per atom.

It has space group Pca2_1 (No. 29), with a = 6.144 Å, b = 6.964 Å, c = 5.840 Å, α = 90.00°, β = 90.00° and γ = 90.00°. Symmetry generates all atoms from Be at (0.067, 0.147, 0.000), Hg at (0.091, 0.644, 0.959), S at (0.114, 0.094, 0.640) and O at (0.039, 0.656, 0.557).

No. 19
This record from OQMD describes a geometry-optimized BeHgSO structure. The functional is PBE.

The value obtained for the excess energy over the best structure of this formula in the dataset is 109 meV per atom.

It has space group P2_12_12_1 (No. 19), with a = 5.005 Å, b = 7.119 Å, c = 7.716 Å, α = 90.00°, β = 90.00° and γ = 90.00°. Symmetry generates all atoms from Be at (0.041, 0.225, 0.075), Hg at (0.021, 0.572, 0.804), S at (0.199, 0.149, 0.325) and O at (0.248, 0.685, 0.461).

No. 20
This record from OQMD describes a geometry-optimized BeHgSO structure. The functional is PBE.

The value obtained for the excess energy over the best structure of this formula in the dataset is 385 meV per atom.

It has space group P2_12_12_1 (No. 19), with a = 6.051 Å, b = 6.957 Å, c = 6.988 Å, α = 90.00°, β = 90.00° and γ = 90.00°. Symmetry generates all atoms from Be at (0.245, 0.100, 0.483), Hg at (0.187, 0.631, 0.398), S at (0.093, 0.644, 0.040) and O at (0.151, 0.088, 0.963).

No. 21
This record from OQMD describes a geometry-optimized BeHgSO structure. The functional is PBE.

The value obtained for the excess energy over the best structure of this formula in the dataset is 1356 meV per atom.

It has space group P4/nmm (No. 129, origin choice 2), with a = 3.636 Å, b = 3.636 Å, c = 10.155 Å, α = 90.00°, β = 90.00° and γ = 90.00°. Symmetry generates all atoms from Be at (0.250, 0.250, 0.082), Hg at (0.250, 0.250, 0.629), S at (0.250, 0.250, 0.881) and O at (0.250, 0.750, 0.500).

No. 22
This record from OQMD describes a geometry-optimized BeHgSO structure. The functional is PBE.

The value obtained for the excess energy over the best structure of this formula in the dataset is 1021 meV per atom.

It has space group P4/nmm (No. 129, origin choice 2), with a = 4.017 Å, b = 4.017 Å, c = 7.893 Å, α = 90.00°, β = 90.00° and γ = 90.00°. Symmetry generates all atoms from Be at (0.250, 0.750, 0.000), Hg at (0.250, 0.250, 0.330), S at (0.250, 0.250, 0.880) and O at (0.250, 0.250, 0.682).

No. 23
This record from OQMD describes a geometry-optimized BeHgSO structure. The functional is PBE.

The value obtained for the excess energy over the best structure of this formula in the dataset is 800 meV per atom.

It has space group P4/nmm (No. 129, origin choice 2), with a = 3.819 Å, b = 3.819 Å, c = 8.292 Å, α = 90.00°, β = 90.00° and γ = 90.00°. Symmetry generates all atoms from Be at (0.250, 0.250, 0.148), Hg at (0.250, 0.250, 0.636), S at (0.250, 0.750, 0.000) and O at (0.250, 0.250, 0.331).

No. 24
This record from OQMD describes a geometry-optimized BeHgSO structure. The functional is PBE.

The value obtained for the excess energy over the best structure of this formula in the dataset is 154 meV per atom.

It has space group Pbca (No. 61), with a = 5.121 Å, b = 7.729 Å, c = 13.754 Å, α = 90.00°, β = 90.00° and γ = 90.00°. Symmetry generates all atoms from Be at (0.106, 0.234, 0.208), Hg at (0.144, 0.178, 0.930), S at (0.237, 0.583, 0.094) and O at (0.186, 0.731, 0.785).

no.,DFT total energy (eV per cell)
1,-47.01
2,-32.50
3,-31.95
4,-82.57
5,-57.97
6,-42.71
7,-44.93
8,-44.90
9,-47.57
10,-46.25
11,-48.17
12,-40.83
13,-33.49
14,-40.22
15,-109.45
16,-71.64
17,-33.29
18,-65.87
19,-69.89
20,-65.49
21,-24.98
22,-27.65
23,-29.42
24,-138.37